(1)
Compound: Nd4Zn2In
Source: Alexandria
Functional: PBE
Structure: relaxed

For the formation energy, the calculation gives -0.23 eV/atom. As for the space group: R-3m (166).

abc: 5.2346 5.2346 8.9027
angles: 72.90 72.90 60.00
Closest atoms and distances in Å follow each position.
Positions (direct):
Nd: 0.8676 0.8676 0.3972  4 Zn 3.10-3.32, 1 In 3.33
Nd: 0.1324 0.1324 0.6028  4 Zn 3.10-3.32, 1 In 3.33
Nd: 0.6148 0.6148 0.1557  4 Zn 3.09-3.25, 3 In 3.29
Nd: 0.3852 0.3852 0.8443  4 Zn 3.09-3.25, 3 In 3.29
Zn: 0.7443 0.7443 0.7670  8 Nd 3.09-3.32
Zn: 0.2557 0.2557 0.2330  8 Nd 3.09-3.32
In: 0.0000 0.0000 0.0000  8 Nd 3.29-3.33, 6 Zn 3.60

---

(2)
Compound: Ag2RuRh
Source: Alexandria
Functional: PBE
Structure: relaxed

For the formation energy, the calculation gives 0.48 eV/atom. As for the space group: I-4m2 (119).

abc: 4.8285 4.8285 4.8285
angles: 130.40 130.40 72.77
Closest atoms and distances in Å follow each position.
Positions (direct):
Ag: 0.0000 0.0000 0.0000  4 Ru 2.81, 4 Ag 2.81, 4 Rh 2.86
Ag: 0.2500 0.7500 0.5000  4 Ag 2.81, 4 Rh 2.81, 4 Ru 2.86
Rh: 0.5000 0.5000 0.0000  8 Ag 2.81-2.86, 4 Ru 2.81
Ru: 0.7500 0.2500 0.5000  4 Rh 2.81, 8 Ag 2.81-2.86

---

(3)
Compound: Rb4NaPa3Te8
Source: Alexandria
Functional: PBE
Structure: relaxed

The formation energy without anion corrections is -0.9711 eV per atom. As for the space group: R-3m (166).

abc: 9.1563 10.0765 9.1598
angles: 117.06 119.99 90.00
Closest atoms and distances in Å follow each position.
Positions (direct):
Rb: 0.5000 0.0000 0.0000  6 Te 3.60-3.61
Rb: 0.5000 0.0000 0.5000  6 Te 3.68-3.72
Rb: 0.0000 0.0000 0.0000  6 Te 3.68-3.72
Rb: 0.0000 0.0000 0.5000  6 Te 3.68-3.72
Na: 0.0000 0.5000 0.0000  6 Te 3.24-3.25
Pa: 0.5000 0.5000 0.0000  6 Te 3.11-3.16
Pa: 0.5000 0.5000 0.5000  6 Te 3.11-3.16
Pa: 0.0000 0.5000 0.5000  6 Te 3.11-3.16
Te: 0.2400 0.7005 0.9603  2 Pa 3.11, 1 Na 3.24
Te: 0.2406 0.7010 0.4812  2 Pa 3.11, 1 Na 3.25
Te: 0.2660 0.2979 0.5320  3 Pa 3.16
Te: 0.7203 0.7005 0.9603  2 Pa 3.11, 1 Na 3.24
Te: 0.2797 0.2995 0.0397  2 Pa 3.11, 1 Na 3.24
Te: 0.7340 0.7021 0.4680  3 Pa 3.16
Te: 0.7594 0.2990 0.5188  2 Pa 3.11, 1 Na 3.25
Te: 0.7600 0.2995 0.0397  2 Pa 3.11, 1 Na 3.24

---

Final energy across the listed records, respectively: -25.965, -20.407, -74.348 eV per cell.